VASP calculation (SCAN) on NaC2IN at its PBEsol-relaxed geometry.

a = 4.1682 Å, b = 4.1682 Å, c = 6.4127 Å
α = 90.00°, β = 90.00°, γ = 90.00°
Positions (direct):
I 0.0000 0.0000 0.0000
Na 0.0000 0.0000 0.5000
C 0.0000 0.5000 0.0000
C 0.5000 0.0000 0.0000
N 0.5000 0.5000 0.5000

Formation energy (no corrections) = 3.117 eV per atom